Material: Pm6MgCo
Method: DFT, GGA-PBE
State: relaxed

a b c (Å): 8.0888 10.4411 6.3726
angles (deg): 90.00 106.71 90.00
With the nearest neighbours (Å) after each atom.
Space group C2/m (No. 12)
Asymmetric unit:
Pm1 0.1138 0.1931 0.2785 (multiplicity 8)  1 Co 2.67
Pm2 0.2266 0.5000 0.1248 (multiplicity 4)  1 Co 2.56
Mg1 0.0000 0.5000 0.5000 (multiplicity 2)  10 Pm 3.41-3.72
Co1 0.0000 0.0000 0.0000 (multiplicity 2)  6 Pm 2.56-2.67

Summary:
DOS(E_F) = 22.32 states/eV per cell
M_tot = 0.00 μB per cell
Raw total energy = -73.11 eV per cell